! GaB4Os (PBE-GGA, optimized geometry); values from VASP
! Energy ... -6.4504 eV/atom
! Distance to the lowest polymorph of the same formula ... 0.0 meV/atom
! Space group ... No. 71
&SYSTEM
  ibrav = 0, nat = 6, ntyp = 3
/
ATOMIC_SPECIES
B 10.81 B.upf
Ga 69.72 Ga.upf
Os 190.23 Os.upf
CELL_PARAMETERS angstrom
2.667 -3.669 -0.485
1.239 -0.305 4.379
-3.632 -0.427 -2.726
ATOMIC_POSITIONS crystal
B 0.579 0.243 0.336
B 0.093 0.757 0.336
B 0.907 0.243 0.664
B 0.421 0.757 0.664
Ga 0.500 0.500 0.000
Os 0.000 0.000 0.000



! PrNi2GeP (PBE-GGA, optimized geometry); values from VASP
! Energy ... -6.0404 eV/atom
! Distance to the lowest polymorph of the same formula ... 23.0 meV/atom
! Space group ... No. 107
&SYSTEM
  ibrav = 0, nat = 5, ntyp = 4
/
ATOMIC_SPECIES
Ge 72.64 Ge.upf
Ni 58.69 Ni.upf
P 30.97 P.upf
Pr 140.91 Pr.upf
CELL_PARAMETERS angstrom
-0.645 -0.778 5.589
1.473 4.156 3.581
-3.066 -0.614 -4.741
ATOMIC_POSITIONS crystal
Ge 0.374 0.374 0.000
Ni 0.744 0.244 0.500
Ni 0.244 0.744 0.500
P 0.635 0.635 0.000
Pr 0.003 0.003 0.000



! Hf4ZnSbC2 (PBE-GGA, optimized geometry); values from VASP
! Energy ... -8.6046 eV/atom
! Space group ... No. 187
&SYSTEM
  ibrav = 0, nat = 8, ntyp = 4
/
ATOMIC_SPECIES
C 12.01 C.upf
Hf 178.49 Hf.upf
Sb 121.76 Sb.upf
Zn 65.41 Zn.upf
CELL_PARAMETERS angstrom
-2.735 0.901 1.675
2.617 -1.255 1.635
5.247 12.994 1.578
ATOMIC_POSITIONS crystal
C 0.333 0.667 0.252
C 0.333 0.667 0.748
Hf 0.667 0.333 0.165
Hf 0.000 0.000 0.340
Hf 0.000 0.000 0.660
Hf 0.667 0.333 0.835
Sb 0.000 0.000 0.000
Zn 0.667 0.333 0.500



! Ho2Co2B2CN (PBE-GGA, optimized geometry); values from VASP
! Energy ... -7.5630 eV/atom
! Space group ... No. 99
&SYSTEM
  ibrav = 0, nat = 8, ntyp = 5
/
ATOMIC_SPECIES
B 10.81 B.upf
C 12.01 C.upf
Co 58.93 Co.upf
Ho 164.93 Ho.upf
N 14.01 N.upf
CELL_PARAMETERS angstrom
3.503 0.000 0.000
0.000 3.503 0.000
0.000 0.000 7.493
ATOMIC_POSITIONS crystal
B 0.000 0.000 0.148
B 0.500 0.500 0.847
C 0.000 0.000 0.351
Co 0.500 0.000 0.998
Co 0.000 0.500 0.998
Ho 0.500 0.500 0.337
Ho 0.000 0.000 0.671
N 0.500 0.500 0.650



! DyBeIr (PBE-GGA, optimized geometry); values from VASP
! Energy ... -5.9046 eV/atom
! Distance to the lowest polymorph of the same formula ... 95.4 meV/atom
! Space group ... No. 216
&SYSTEM
  ibrav = 0, nat = 3, ntyp = 3
/
ATOMIC_SPECIES
Be 9.01 Be.upf
Dy 162.50 Dy.upf
Ir 192.22 Ir.upf
CELL_PARAMETERS angstrom
2.203 1.272 3.597
-2.203 1.272 3.597
0.000 -2.543 3.597
ATOMIC_POSITIONS crystal
Be 0.750 0.750 0.750
Dy 0.250 0.250 0.250
Ir 0.000 0.000 0.000



! InAuS2 (PBE-GGA, optimized geometry); values from VASP
! Energy ... -3.8956 eV/atom
! Space group ... No. 33
&SYSTEM
  ibrav = 0, nat = 16, ntyp = 3
/
ATOMIC_SPECIES
Au 196.97 Au.upf
In 114.82 In.upf
S 32.06 S.upf
CELL_PARAMETERS angstrom
7.284 0.000 0.000
0.000 8.496 0.000
0.000 0.000 6.671
ATOMIC_POSITIONS crystal
Au 0.286 0.643 0.182
Au 0.786 0.857 0.182
Au 0.214 0.143 0.682
Au 0.714 0.357 0.682
In 0.408 0.122 0.079
In 0.908 0.378 0.079
In 0.092 0.622 0.579
In 0.592 0.878 0.579
S 0.462 0.136 0.459
S 0.962 0.364 0.459
S 0.433 0.621 0.495
S 0.933 0.879 0.495
S 0.038 0.636 0.959
S 0.538 0.864 0.959
S 0.067 0.121 0.995
S 0.567 0.379 0.995



! Cu2Ag3 (PBE-GGA, optimized geometry); values from VASP
! Energy ... -3.1059 eV/atom
! Distance to the lowest polymorph of the same formula ... 43.2 meV/atom
! Formation energy ... 0.0755 eV per atom
! Space group ... No. 12
&SYSTEM
  ibrav = 0, nat = 10, ntyp = 2
/
ATOMIC_SPECIES
Ag 107.87 Ag.upf
Cu 63.55 Cu.upf
CELL_PARAMETERS angstrom
-7.049 -1.823 -3.017
-5.439 -1.954 -5.358
2.536 -6.420 2.103
ATOMIC_POSITIONS crystal
Ag 0.096 0.096 0.022
Ag 0.508 0.508 0.301
Ag 0.697 0.697 0.344
Ag 0.303 0.303 0.656
Ag 0.492 0.492 0.699
Ag 0.904 0.904 0.978
Cu 0.292 0.292 0.138
Cu 0.880 0.880 0.409
Cu 0.120 0.120 0.591
Cu 0.708 0.708 0.862



! Pm2AlNi2 (PBE-GGA, optimized geometry); values from VASP
! Energy ... -5.3436 eV/atom
! Space group ... No. 15
&SYSTEM
  ibrav = 0, nat = 10, ntyp = 3
/
ATOMIC_SPECIES
Al 26.98 Al.upf
Ni 58.69 Ni.upf
Pm 145.00 Pm.upf
CELL_PARAMETERS angstrom
4.771 -2.756 0.000
4.771 2.756 0.000
-1.930 0.000 7.576
ATOMIC_POSITIONS crystal
Al 0.137 0.863 0.250
Al 0.863 0.137 0.750
Ni 0.272 0.997 0.002
Ni 0.003 0.728 0.498
Ni 0.997 0.272 0.502
Ni 0.728 0.003 0.998
Pm 0.795 0.502 0.148
Pm 0.498 0.205 0.352
Pm 0.502 0.795 0.648
Pm 0.205 0.498 0.852



! Zr3Ta2Ga3 (PBE-GGA, optimized geometry); values from VASP
! Energy ... -7.7718 eV/atom
! Space group ... No. 193
&SYSTEM
  ibrav = 0, nat = 16, ntyp = 3
/
ATOMIC_SPECIES
Ga 69.72 Ga.upf
Ta 180.95 Ta.upf
Zr 91.22 Zr.upf
CELL_PARAMETERS angstrom
7.981 0.000 0.000
-3.990 6.911 0.000
0.000 0.000 5.488
ATOMIC_POSITIONS crystal
Ga 0.603 0.000 0.250
Ga 0.397 0.397 0.250
Ga 0.000 0.603 0.250
Ga 0.397 0.000 0.750
Ga 0.000 0.397 0.750
Ga 0.603 0.603 0.750
Ta 0.667 0.333 0.000
Ta 0.333 0.667 0.000
Ta 0.667 0.333 0.500
Ta 0.333 0.667 0.500
Zr 0.247 0.000 0.250
Zr 0.000 0.247 0.250
Zr 0.753 0.753 0.250
Zr 0.753 0.000 0.750
Zr 0.247 0.247 0.750
Zr 0.000 0.753 0.750



! Li2Zr2Se3S (PBE-GGA, optimized geometry); values from VASP
! Energy ... -5.5343 eV/atom
! Space group ... No. 5
&SYSTEM
  ibrav = 0, nat = 8, ntyp = 4
/
ATOMIC_SPECIES
Li 6.94 Li.upf
S 32.06 S.upf
Se 78.96 Se.upf
Zr 91.22 Zr.upf
CELL_PARAMETERS angstrom
6.140 -3.057 0.000
6.140 3.057 0.000
-2.444 0.000 5.394
ATOMIC_POSITIONS crystal
Li 0.498 0.755 0.360
Li 0.245 0.502 0.640
S 0.160 0.840 0.000
Se 0.890 0.639 0.256
Se 0.629 0.371 0.500
Se 0.361 0.110 0.744
Zr 0.749 0.032 0.098
Zr 0.968 0.251 0.902



! Nd3GaO (PBE-GGA, optimized geometry); values from VASP
! Energy ... -5.8069 eV/atom
! Space group ... No. 63
&SYSTEM
  ibrav = 0, nat = 10, ntyp = 3
/
ATOMIC_SPECIES
Ga 69.72 Ga.upf
Nd 144.24 Nd.upf
O 16.00 O.upf
CELL_PARAMETERS angstrom
1.891 -6.316 0.000
1.891 6.316 0.000
0.000 0.000 9.860
ATOMIC_POSITIONS crystal
Ga 0.746 0.254 0.250
Ga 0.254 0.746 0.750
Nd 0.371 0.629 0.049
Nd 0.052 0.948 0.250
Nd 0.371 0.629 0.451
Nd 0.629 0.371 0.549
Nd 0.948 0.052 0.750
Nd 0.629 0.371 0.951
O 0.000 0.000 0.000
O 0.000 0.000 0.500



! Hf3Sn4Au4 (PBE-GGA, optimized geometry); values from VASP
! Energy ... -5.7371 eV/atom
! Distance to the lowest polymorph of the same formula ... 0.0 meV/atom
! Space group ... No. 121
&SYSTEM
  ibrav = 0, nat = 11, ntyp = 3
/
ATOMIC_SPECIES
Au 196.97 Au.upf
Hf 178.49 Hf.upf
Sn 118.71 Sn.upf
CELL_PARAMETERS angstrom
0.000 6.449 0.000
-6.449 0.000 0.000
-3.225 3.225 6.432
ATOMIC_POSITIONS crystal
Au 0.611 0.134 0.255
Au 0.134 0.611 0.255
Au 0.866 0.866 0.745
Au 0.389 0.389 0.745
Hf 0.500 0.500 0.000
Hf 0.750 0.250 0.500
Hf 0.250 0.750 0.500
Sn 0.500 0.000 0.000
Sn 0.000 0.500 0.000
Sn 0.766 0.766 0.468
Sn 0.234 0.234 0.532



! NbNiSb2 (PBE-GGA, optimized geometry); values from VASP
! Energy ... -5.5034 eV/atom
! Space group ... No. 216
&SYSTEM
  ibrav = 0, nat = 4, ntyp = 3
/
ATOMIC_SPECIES
Nb 92.91 Nb.upf
Ni 58.69 Ni.upf
Sb 121.76 Sb.upf
CELL_PARAMETERS angstrom
2.407 1.390 3.931
-2.407 1.390 3.931
0.000 -2.780 3.931
ATOMIC_POSITIONS crystal
Nb 0.250 0.250 0.250
Ni 0.000 0.000 0.000
Sb 0.500 0.500 0.500
Sb 0.750 0.750 0.750



! HfBeCoBi (PBE-GGA, optimized geometry); values from VASP
! Energy ... -5.9550 eV/atom
! Distance to the lowest polymorph of the same formula ... 0.0 meV/atom
! Space group ... No. 216
&SYSTEM
  ibrav = 0, nat = 4, ntyp = 4
/
ATOMIC_SPECIES
Be 9.01 Be.upf
Bi 208.98 Bi.upf
Co 58.93 Co.upf
Hf 178.49 Hf.upf
CELL_PARAMETERS angstrom
-2.289 -3.007 -2.519
-4.089 1.074 -1.661
-0.528 0.705 -4.456
ATOMIC_POSITIONS crystal
Be 0.250 0.250 0.250
Bi 0.000 0.000 0.000
Co 0.750 0.750 0.750
Hf 0.500 0.500 0.500



! Gd3Mg3InAu2 (PBE-GGA, optimized geometry); values from VASP
! Energy ... -3.6427 eV/atom
! Space group ... No. 189
&SYSTEM
  ibrav = 0, nat = 9, ntyp = 4
/
ATOMIC_SPECIES
Au 196.97 Au.upf
Gd 157.25 Gd.upf
In 114.82 In.upf
Mg 24.30 Mg.upf
CELL_PARAMETERS angstrom
7.508 0.000 0.000
-3.754 6.502 0.000
0.000 0.000 4.442
ATOMIC_POSITIONS crystal
Au 0.667 0.333 0.500
Au 0.333 0.667 0.500
Gd 0.574 0.000 0.000
Gd 0.426 0.426 0.000
Gd 0.000 0.574 0.000
In 0.000 0.000 0.000
Mg 0.250 0.000 0.500
Mg 0.000 0.250 0.500
Mg 0.750 0.750 0.500



! NiMoW2 (PBE-GGA, optimized geometry); values from VASP
! Energy ... -10.3447 eV/atom
! Formation energy ... 0.2393 eV per atom
! Space group ... No. 216
&SYSTEM
  ibrav = 0, nat = 4, ntyp = 3
/
ATOMIC_SPECIES
Mo 95.94 Mo.upf
Ni 58.69 Ni.upf
W 183.84 W.upf
CELL_PARAMETERS angstrom
0.000 3.104 3.104
3.104 0.000 3.104
3.104 3.104 0.000
ATOMIC_POSITIONS crystal
Mo 0.500 0.500 0.500
Ni 0.750 0.750 0.750
W 0.000 0.000 0.000
W 0.250 0.250 0.250



! CsEr2CS4 (PBE-GGA, optimized geometry); values from VASP
! Energy ... -5.1125 eV/atom
! Space group ... No. 187
&SYSTEM
  ibrav = 0, nat = 8, ntyp = 4
/
ATOMIC_SPECIES
C 12.01 C.upf
Cs 132.91 Cs.upf
Er 167.26 Er.upf
S 32.06 S.upf
CELL_PARAMETERS angstrom
3.958 0.000 0.000
-1.979 3.428 0.000
0.000 0.000 14.252
ATOMIC_POSITIONS crystal
C 0.000 0.000 0.000
Cs 0.333 0.667 0.500
Er 0.667 0.333 0.214
Er 0.667 0.333 0.786
S 0.333 0.667 0.112
S 0.000 0.000 0.319
S 0.000 0.000 0.681
S 0.333 0.667 0.888



! InAg3GeS4 (PBE-GGA, optimized geometry); values from VASP
! Energy ... -3.7921 eV/atom
! Distance to the lowest polymorph of the same formula ... 0.0 meV/atom
! Space group ... No. 11
&SYSTEM
  ibrav = 0, nat = 18, ntyp = 4
/
ATOMIC_SPECIES
Ag 107.87 Ag.upf
Ge 72.64 Ge.upf
In 114.82 In.upf
S 32.06 S.upf
CELL_PARAMETERS angstrom
-5.107 1.221 3.797
3.594 -2.955 5.785
5.634 7.894 0.531
ATOMIC_POSITIONS crystal
Ag 0.250 0.053 0.060
Ag 0.250 0.447 0.060
Ag 0.320 0.250 0.359
Ag 0.680 0.750 0.641
Ag 0.750 0.553 0.940
Ag 0.750 0.947 0.940
Ge 0.810 0.250 0.224
Ge 0.190 0.750 0.776
In 0.855 0.750 0.396
In 0.145 0.250 0.604
S 0.556 0.250 0.013
S 0.020 0.005 0.227
S 0.020 0.495 0.227
S 0.713 0.250 0.424
S 0.287 0.750 0.576
S 0.980 0.505 0.773
S 0.980 0.995 0.773
S 0.444 0.750 0.987



! ErInHgTe3 (PBE-GGA, optimized geometry); values from VASP
! Energy ... -3.4811 eV/atom
! Distance to the lowest polymorph of the same formula ... 0.0 meV/atom
! Space group ... No. 63
&SYSTEM
  ibrav = 0, nat = 12, ntyp = 4
/
ATOMIC_SPECIES
Er 167.26 Er.upf
Hg 200.59 Hg.upf
In 114.82 In.upf
Te 127.60 Te.upf
CELL_PARAMETERS angstrom
-7.010 -3.550 -0.820
-5.760 -4.267 3.322
-5.254 9.624 3.249
ATOMIC_POSITIONS crystal
Er 0.000 0.000 0.000
Er 0.000 0.000 0.500
Hg 0.464 0.464 0.250
Hg 0.536 0.536 0.750
In 0.762 0.762 0.250
In 0.238 0.238 0.750
Te 0.359 0.359 0.045
Te 0.088 0.088 0.250
Te 0.359 0.359 0.455
Te 0.641 0.641 0.545
Te 0.912 0.912 0.750
Te 0.641 0.641 0.955



! Zr2Ge2SbS (PBE-GGA, optimized geometry); values from VASP
! Energy ... -6.1019 eV/atom
! Space group ... No. 115
&SYSTEM
  ibrav = 0, nat = 6, ntyp = 4
/
ATOMIC_SPECIES
Ge 72.64 Ge.upf
S 32.06 S.upf
Sb 121.76 Sb.upf
Zr 91.22 Zr.upf
CELL_PARAMETERS angstrom
-0.767 2.266 3.066
-3.028 -2.263 0.915
4.850 -4.617 4.626
ATOMIC_POSITIONS crystal
Ge 0.000 0.500 0.372
Ge 0.500 0.000 0.628
S 0.000 0.000 0.000
Sb 0.500 0.500 0.000
Zr 0.500 0.000 0.273
Zr 0.000 0.500 0.727